Record 1
## LaCd2Re (PBE-GGA)

Data for a geometry-optimized LaCd2Re structure.

Geometry as POSCAR:
```
LaCd2Re
1.0
7.3328 0.0450 0.0047
5.0555 5.3117 -0.0047
-5.7145 -3.7876 2.6020
La Cd Re
1 2 1
direct
0.4322 0.4322 0.0000
0.7395 0.2395 0.5000
0.0761 0.0761 0.0000
0.2522 0.7522 0.5000
```

Computed properties:
**Energy of formation**: 0.37 eV per atom
**Energy above the lowest structure with this stoichiometry**: 0.0750 eV/atom
**Energy**: -4.43 eV/atom
**Space-group type**: No. 44

---

Record 2
## La2CdRe (PBE-GGA)

Data for a geometry-optimized La2CdRe structure.

Geometry as POSCAR:
```
La2CdRe
1.0
-6.8457 3.8475 3.6128
-5.4377 1.2813 6.5961
-3.6403 5.0118 6.0290
Re Cd La
1 1 2
direct
0.2500 0.2500 0.2500
0.7500 0.7500 0.7500
0.5195 0.5195 0.5195
0.9805 0.9805 0.9805
```

Computed properties:
**Energy of formation**: 0.31 eV per atom
**Energy**: -5.49 eV/atom
**Space-group type**: No. 166

---

Record 3
## La2CdRe (PBE-GGA)

Data for a geometry-optimized La2CdRe structure.

Geometry as POSCAR:
```
La2CdRe
1.0
-0.0867 3.0988 -4.0855
-3.8165 -0.1773 -0.0535
-0.2415 4.2118 3.1998
La Cd Re
2 1 1
direct
0.0000 0.1248 0.8830
0.5000 0.1254 0.3532
0.5000 0.6251 0.8309
0.0000 0.6247 0.4328
```

Computed properties:
**Energy of formation**: 0.21 eV per atom
**Energy**: -5.59 eV/atom
**Space-group type**: No. 25

---

Record 4
## LaCd2Re (PBE-GGA)

Data for a geometry-optimized LaCd2Re structure.

Geometry as POSCAR:
```
LaCd2Re
1.0
0.0000 3.5599 3.5599
3.5599 0.0000 3.5599
3.5599 3.5599 0.0000
Cd La Re
2 1 1
direct
0.2500 0.2500 0.2500
0.7500 0.7500 0.7500
0.0000 0.0000 0.0000
0.5000 0.5000 0.5000
```

Computed properties:
**Energy of formation**: 0.51 eV per atom
**Energy above the lowest structure with this stoichiometry**: 0.2188 eV/atom
**Energy**: -4.29 eV/atom
**Space-group type**: No. 225